[1]
# BaAl3Fe, relaxed, DFT GGA-PBEsol
data_BaAl3Fe
_chemical_formula_sum 'Ba1 Al3 Fe1'
_symmetry_space_group_name_H-M 'P 1'
_symmetry_Int_Tables_number 1
_cell_length_a 4.655
_cell_length_b 4.655
_cell_length_c 4.655
_cell_angle_alpha 90.00
_cell_angle_beta 90.00
_cell_angle_gamma 90.00
loop_
_symmetry_equiv_pos_as_xyz
'x,y,z'
loop_
_atom_site_label
_atom_site_type_symbol
_atom_site_fract_x
_atom_site_fract_y
_atom_site_fract_z
_atom_site_occupancy
Al1 Al 0.000 0.000 0.500 1
Al2 Al 0.500 0.000 0.000 1
Al3 Al 0.000 0.500 0.000 1
Ba1 Ba 0.500 0.500 0.500 1
Fe1 Fe 0.000 0.000 0.000 1
# - total moment (μB per cell) = 0.000
# - DFT formation energy (eV/atom) = -0.2676
# - DFT total energy (eV per atom) = -4.945



[2]
# Ba2AlFeP, relaxed, DFT GGA-PBEsol
data_Ba2AlFeP
_chemical_formula_sum 'Ba2 Al1 Fe1 P1'
_symmetry_space_group_name_H-M 'P 1'
_symmetry_Int_Tables_number 1
_cell_length_a 4.459
_cell_length_b 6.066
_cell_length_c 6.066
_cell_angle_alpha 90.00
_cell_angle_beta 90.00
_cell_angle_gamma 90.00
loop_
_symmetry_equiv_pos_as_xyz
'x,y,z'
loop_
_atom_site_label
_atom_site_type_symbol
_atom_site_fract_x
_atom_site_fract_y
_atom_site_fract_z
_atom_site_occupancy
Ba1 Ba 0.000 0.000 0.500 1
Ba2 Ba 0.000 0.500 0.000 1
Fe1 Fe 0.500 0.000 0.000 1
P1 P 0.500 0.500 0.500 1
Al1 Al 0.000 0.000 0.000 1
# - total moment (μB per cell) = 2.562
# - DFT formation energy (eV/atom) = 0.5200
# - DFT total energy (eV per atom) = -4.109



[3]
# Ba2AlGa3, relaxed, DFT GGA-PBEsol
data_Ba2AlGa3
_chemical_formula_sum 'Ba2 Al1 Ga3'
_symmetry_space_group_name_H-M 'P 1'
_symmetry_Int_Tables_number 1
_cell_length_a 4.845
_cell_length_b 6.079
_cell_length_c 6.108
_cell_angle_alpha 77.82
_cell_angle_beta 66.64
_cell_angle_gamma 66.52
loop_
_symmetry_equiv_pos_as_xyz
'x,y,z'
loop_
_atom_site_label
_atom_site_type_symbol
_atom_site_fract_x
_atom_site_fract_y
_atom_site_fract_z
_atom_site_occupancy
Al1 Al 0.579 0.262 0.581 1
Ga1 Ga 0.076 0.084 0.764 1
Ga2 Ga 0.922 0.919 0.236 1
Ga3 Ga 0.423 0.736 0.419 1
Ba1 Ba 0.749 0.686 0.815 1
Ba2 Ba 0.251 0.312 0.185 1
# - total moment (μB per cell) = 0.000
# - DFT formation energy (eV/atom) = -0.4275
# - DFT total energy (eV per atom) = -3.496



[4]
# Ba2HfAlGa, relaxed, DFT GGA-PBEsol
data_Ba2HfAlGa
_chemical_formula_sum 'Ba2 Hf1 Al1 Ga1'
_symmetry_space_group_name_H-M 'P 1'
_symmetry_Int_Tables_number 1
_cell_length_a 5.074
_cell_length_b 6.152
_cell_length_c 6.152
_cell_angle_alpha 90.00
_cell_angle_beta 90.00
_cell_angle_gamma 90.00
loop_
_symmetry_equiv_pos_as_xyz
'x,y,z'
loop_
_atom_site_label
_atom_site_type_symbol
_atom_site_fract_x
_atom_site_fract_y
_atom_site_fract_z
_atom_site_occupancy
Ba1 Ba 0.000 0.000 0.500 1
Ba2 Ba 0.000 0.500 0.000 1
Ga1 Ga 0.000 0.000 0.000 1
Al1 Al 0.500 0.500 0.500 1
Hf1 Hf 0.500 0.000 0.000 1
# - total moment (μB per cell) = 0.002
# - DFT formation energy (eV/atom) = 0.5837
# - DFT total energy (eV per atom) = -3.863



[5]
# BaAl2Ge2, relaxed, DFT GGA-PBEsol
data_BaAl2Ge2
_chemical_formula_sum 'Ba4 Al8 Ge8'
_symmetry_space_group_name_H-M 'P 1'
_symmetry_Int_Tables_number 1
_cell_length_a 4.272
_cell_length_b 10.096
_cell_length_c 10.951
_cell_angle_alpha 90.00
_cell_angle_beta 90.00
_cell_angle_gamma 90.00
loop_
_symmetry_equiv_pos_as_xyz
'x,y,z'
loop_
_atom_site_label
_atom_site_type_symbol
_atom_site_fract_x
_atom_site_fract_y
_atom_site_fract_z
_atom_site_occupancy
Ba1 Ba 0.250 0.247 0.824 1
Ba2 Ba 0.250 0.747 0.676 1
Ba3 Ba 0.750 0.753 0.176 1
Ba4 Ba 0.750 0.253 0.324 1
Ge1 Ge 0.250 0.474 0.158 1
Ge2 Ge 0.750 0.648 0.460 1
Ge3 Ge 0.750 0.148 0.040 1
Ge4 Ge 0.250 0.974 0.342 1
Ge5 Ge 0.750 0.026 0.658 1
Ge6 Ge 0.750 0.526 0.842 1
Ge7 Ge 0.250 0.352 0.540 1
Ge8 Ge 0.250 0.852 0.960 1
Al1 Al 0.250 0.098 0.546 1
Al2 Al 0.250 0.598 0.954 1
Al3 Al 0.750 0.457 0.618 1
Al4 Al 0.750 0.902 0.454 1
Al5 Al 0.250 0.543 0.382 1
Al6 Al 0.250 0.043 0.118 1
Al7 Al 0.750 0.957 0.882 1
Al8 Al 0.750 0.402 0.046 1
# - total moment (μB per cell) = 0.000
# - DFT formation energy (eV/atom) = -0.4147
# - DFT total energy (eV per atom) = -4.457



[6]
# BaAlGe, relaxed, DFT GGA-PBEsol
data_BaAlGe
_chemical_formula_sum 'Ba1 Al1 Ge1'
_symmetry_space_group_name_H-M 'P 1'
_symmetry_Int_Tables_number 1
_cell_length_a 4.336
_cell_length_b 4.336
_cell_length_c 5.085
_cell_angle_alpha 90.00
_cell_angle_beta 90.00
_cell_angle_gamma 120.00
loop_
_symmetry_equiv_pos_as_xyz
'x,y,z'
loop_
_atom_site_label
_atom_site_type_symbol
_atom_site_fract_x
_atom_site_fract_y
_atom_site_fract_z
_atom_site_occupancy
Ge1 Ge 0.667 0.333 0.500 1
Ba1 Ba 0.000 0.000 0.000 1
Al1 Al 0.333 0.667 0.500 1
# - total moment (μB per cell) = 0.001
# - DFT formation energy (eV/atom) = -0.4867
# - DFT total energy (eV per atom) = -4.213



[7]
# Ba10Al3Ge7, relaxed, DFT GGA-PBEsol
data_Ba10Al3Ge7
_chemical_formula_sum 'Ba20 Al6 Ge14'
_symmetry_space_group_name_H-M 'P 1'
_symmetry_Int_Tables_number 1
_cell_length_a 9.711
_cell_length_b 9.711
_cell_length_c 16.282
_cell_angle_alpha 90.00
_cell_angle_beta 90.00
_cell_angle_gamma 120.00
loop_
_symmetry_equiv_pos_as_xyz
'x,y,z'
loop_
_atom_site_label
_atom_site_type_symbol
_atom_site_fract_x
_atom_site_fract_y
_atom_site_fract_z
_atom_site_occupancy
Ba1 Ba 0.000 0.738 0.102 1
Ba2 Ba 0.000 0.738 0.398 1
Ba3 Ba 0.667 0.333 0.250 1
Ba4 Ba 0.333 0.667 0.250 1
Ba5 Ba 0.738 0.000 0.102 1
Ba6 Ba 0.738 0.000 0.398 1
Ba7 Ba 0.262 0.262 0.102 1
Ba8 Ba 0.333 0.667 0.750 1
Ba9 Ba 0.667 0.333 0.500 1
Ba10 Ba 0.000 0.262 0.602 1
Ba11 Ba 0.738 0.738 0.898 1
Ba12 Ba 0.262 0.000 0.602 1
Ba13 Ba 0.667 0.333 0.000 1
Ba14 Ba 0.000 0.262 0.898 1
Ba15 Ba 0.262 0.000 0.898 1
Ba16 Ba 0.333 0.667 0.000 1
Ba17 Ba 0.333 0.667 0.500 1
Ba18 Ba 0.738 0.738 0.602 1
Ba19 Ba 0.667 0.333 0.750 1
Ba20 Ba 0.262 0.262 0.398 1
Ge1 Ge 0.000 0.606 0.884 1
Ge2 Ge 0.606 0.000 0.884 1
Ge3 Ge 0.606 0.000 0.616 1
Ge4 Ge 0.394 0.000 0.384 1
Ge5 Ge 0.394 0.394 0.884 1
Ge6 Ge 0.394 0.000 0.116 1
Ge7 Ge 0.000 0.606 0.616 1
Ge8 Ge 0.606 0.606 0.116 1
Ge9 Ge 0.000 0.394 0.384 1
Ge10 Ge 0.000 0.000 0.250 1
Ge11 Ge 0.000 0.394 0.116 1
Ge12 Ge 0.000 0.000 0.750 1
Ge13 Ge 0.394 0.394 0.616 1
Ge14 Ge 0.606 0.606 0.384 1
Al1 Al 0.732 0.000 0.750 1
Al2 Al 0.268 0.268 0.750 1
Al3 Al 0.268 0.000 0.250 1
Al4 Al 0.732 0.732 0.250 1
Al5 Al 0.000 0.732 0.750 1
Al6 Al 0.000 0.268 0.250 1
# - total moment (μB per cell) = 0.695
# - DFT formation energy (eV/atom) = -0.5148
# - DFT total energy (eV per atom) = -3.932



[8]
# BaAl2Ge2, relaxed, DFT GGA-PBEsol
data_BaAl2Ge2
_chemical_formula_sum 'Ba1 Al2 Ge2'
_symmetry_space_group_name_H-M 'P 1'
_symmetry_Int_Tables_number 1
_cell_length_a 4.731
_cell_length_b 4.731
_cell_length_c 6.084
_cell_angle_alpha 112.88
_cell_angle_beta 112.88
_cell_angle_gamma 90.00
loop_
_symmetry_equiv_pos_as_xyz
'x,y,z'
loop_
_atom_site_label
_atom_site_type_symbol
_atom_site_fract_x
_atom_site_fract_y
_atom_site_fract_z
_atom_site_occupancy
Al1 Al 0.631 0.631 0.263 1
Al2 Al 0.369 0.369 0.737 1
Ge1 Ge 0.750 0.250 0.500 1
Ge2 Ge 0.250 0.750 0.500 1
Ba1 Ba 0.000 0.000 0.000 1
# - total moment (μB per cell) = 0.000
# - DFT formation energy (eV/atom) = -0.3685
# - DFT total energy (eV per atom) = -4.410



[9]
# Ba3Al2Ge2, relaxed, DFT GGA-PBEsol
data_Ba3Al2Ge2
_chemical_formula_sum 'Ba3 Al2 Ge2'
_symmetry_space_group_name_H-M 'P 1'
_symmetry_Int_Tables_number 1
_cell_length_a 4.305
_cell_length_b 5.052
_cell_length_c 10.506
_cell_angle_alpha 103.91
_cell_angle_beta 101.82
_cell_angle_gamma 90.00
loop_
_symmetry_equiv_pos_as_xyz
'x,y,z'
loop_
_atom_site_label
_atom_site_type_symbol
_atom_site_fract_x
_atom_site_fract_y
_atom_site_fract_z
_atom_site_occupancy
Ba1 Ba 0.815 0.815 0.630 1
Ba2 Ba 0.500 0.000 0.000 1
Ba3 Ba 0.185 0.185 0.370 1
Al1 Al 0.065 0.565 0.130 1
Al2 Al 0.935 0.435 0.870 1
Ge1 Ge 0.635 0.635 0.271 1
Ge2 Ge 0.365 0.365 0.729 1
# - total moment (μB per cell) = 0.000
# - DFT formation energy (eV/atom) = -0.4833
# - DFT total energy (eV per atom) = -3.984



[10]
# BaAlGeH, relaxed, DFT GGA-PBEsol
data_BaAlGeH
_chemical_formula_sum 'Ba1 Al1 Ge1 H1'
_symmetry_space_group_name_H-M 'P 1'
_symmetry_Int_Tables_number 1
_cell_length_a 4.333
_cell_length_b 4.333
_cell_length_c 5.108
_cell_angle_alpha 90.00
_cell_angle_beta 90.00
_cell_angle_gamma 120.00
loop_
_symmetry_equiv_pos_as_xyz
'x,y,z'
loop_
_atom_site_label
_atom_site_type_symbol
_atom_site_fract_x
_atom_site_fract_y
_atom_site_fract_z
_atom_site_occupancy
Ba1 Ba 0.333 0.667 0.998 1
Ge1 Ge 0.667 0.333 0.542 1
H1 H 0.000 0.000 0.119 1
Al1 Al 0.000 0.000 0.460 1
# - total moment (μB per cell) = 0.000
# - DFT total energy (eV per atom) = -4.160



[11]
# BaAl2Ge2O8, relaxed, DFT GGA-PBEsol
data_BaAl2Ge2O8
_chemical_formula_sum 'Ba4 Al8 Ge8 O32'
_symmetry_space_group_name_H-M 'P 1'
_symmetry_Int_Tables_number 1
_cell_length_a 8.832
_cell_length_b 9.572
_cell_length_c 9.572
_cell_angle_alpha 90.97
_cell_angle_beta 97.81
_cell_angle_gamma 82.19
loop_
_symmetry_equiv_pos_as_xyz
'x,y,z'
loop_
_atom_site_label
_atom_site_type_symbol
_atom_site_fract_x
_atom_site_fract_y
_atom_site_fract_z
_atom_site_occupancy
O1 O 0.501 0.630 0.133 1
O2 O 0.610 0.068 0.815 1
O3 O 0.499 0.370 0.867 1
O4 O 0.613 0.682 0.437 1
O5 O 0.458 0.143 0.354 1
O6 O 0.387 0.318 0.563 1
O7 O 0.286 0.022 0.736 1
O8 O 0.542 0.857 0.646 1
O9 O 0.007 0.928 0.822 1
O10 O 0.714 0.978 0.264 1
O11 O 0.999 0.133 0.630 1
O12 O 0.710 0.236 0.523 1
O13 O 0.790 0.523 0.236 1
O14 O 0.887 0.437 0.682 1
O15 O 0.992 0.321 0.425 1
O16 O 0.493 0.822 0.928 1
O17 O 0.290 0.764 0.477 1
O18 O 0.786 0.264 0.978 1
O19 O 0.993 0.072 0.178 1
O20 O 0.890 0.815 0.068 1
O21 O 0.113 0.563 0.318 1
O22 O 0.110 0.185 0.932 1
O23 O 0.042 0.354 0.143 1
O24 O 0.507 0.178 0.072 1
O25 O 0.390 0.932 0.185 1
O26 O 0.508 0.425 0.321 1
O27 O 0.492 0.575 0.679 1
O28 O 0.008 0.679 0.575 1
O29 O 0.210 0.477 0.764 1
O30 O 0.214 0.736 0.022 1
O31 O 0.001 0.867 0.370 1
O32 O 0.958 0.646 0.857 1
Ba1 Ba 0.791 0.935 0.566 1
Ba2 Ba 0.291 0.434 0.065 1
Ba3 Ba 0.709 0.566 0.935 1
Ba4 Ba 0.209 0.065 0.434 1
Al1 Al 0.475 0.946 0.792 1
Al2 Al 0.609 0.567 0.294 1
Al3 Al 0.975 0.208 0.054 1
Al4 Al 0.891 0.294 0.567 1
Al5 Al 0.391 0.433 0.706 1
Al6 Al 0.109 0.706 0.433 1
Al7 Al 0.525 0.054 0.208 1
Al8 Al 0.025 0.792 0.946 1
Ge1 Ge 0.978 0.444 0.290 1
Ge2 Ge 0.106 0.069 0.791 1
Ge3 Ge 0.894 0.931 0.209 1
Ge4 Ge 0.394 0.791 0.069 1
Ge5 Ge 0.022 0.556 0.710 1
Ge6 Ge 0.606 0.209 0.931 1
Ge7 Ge 0.522 0.290 0.444 1
Ge8 Ge 0.478 0.710 0.556 1
# - total moment (μB per cell) = 0.000
# - formation energy (no corrections) (eV per atom) = -2.469
# - DFT total energy (eV per atom) = -7.254



[12]
# Ba2AlGePb, relaxed, DFT GGA-PBEsol
data_Ba2AlGePb
_chemical_formula_sum 'Ba2 Al1 Ge1 Pb1'
_symmetry_space_group_name_H-M 'P 1'
_symmetry_Int_Tables_number 1
_cell_length_a 5.306
_cell_length_b 6.225
_cell_length_c 6.225
_cell_angle_alpha 90.00
_cell_angle_beta 90.00
_cell_angle_gamma 90.00
loop_
_symmetry_equiv_pos_as_xyz
'x,y,z'
loop_
_atom_site_label
_atom_site_type_symbol
_atom_site_fract_x
_atom_site_fract_y
_atom_site_fract_z
_atom_site_occupancy
Ba1 Ba 0.000 0.000 0.500 1
Ba2 Ba 0.000 0.500 0.000 1
Pb1 Pb 0.500 0.000 0.000 1
Al1 Al 0.500 0.500 0.500 1
Ge1 Ge 0.000 0.000 0.000 1
# - total moment (μB per cell) = 0.001
# - DFT formation energy (eV/atom) = 0.1362
# - DFT total energy (eV per atom) = -3.329



> Number 1 is which compound?

BaAl3Fe



> Among the records above, which one has the highest total moment?

Ba2AlFeP